A plane-wave DFT calculation with PBE was carried out for a geometry-optimized MgPaAg2 structure.

Calculated values
**Space-group type**: P4/mmm (123)
**N(E_F)**: 5.9 states/eV/cell
**Mass density**: 8.927 g/cm3
**Energy**: -4.049 eV/atom

Unit cell a=3.072 b=5.341 c=5.341 alpha=90.00 beta=90.00 gamma=90.00
Atoms (fractional coordinates):
Mg (0.500, 0.500, 0.500)
Pa (0.500, 0.000, 0.000)
Ag (0.000, 0.000, 0.500)
Ag (0.000, 0.500, 0.000)


A plane-wave DFT calculation with PBE was carried out for a geometry-optimized HfAlTc2Pd structure.

Calculated values
**Space-group type**: P4/mmm (123)
**N(E_F)**: 6.1 states/eV/cell
**Mass density**: 8.914 g/cm3
**Energy**: -6.879 eV/atom

Unit cell a=4.412 b=4.861 c=4.412 alpha=90.00 beta=90.00 gamma=90.00
Atoms (fractional coordinates):
Hf (0.000, 0.500, 0.000)
Tc (0.000, 0.000, 0.500)
Tc (0.500, 0.000, 0.000)
Pd (0.500, 0.500, 0.500)
Al (0.000, 0.000, 0.000)


A plane-wave DFT calculation with PBE was carried out for a geometry-optimized CdCuCl structure.

Calculated values
**Space-group type**: Pmn2_1 (31)
**N(E_F)**: 0.1 states/eV/cell
**Formation energy without anion corrections**: -0.279 eV per atom
**Mass density**: 5.818 g/cm3
**Energy**: -2.565 eV/atom

Unit cell a=3.475 b=6.667 c=5.209 alpha=90.00 beta=90.00 gamma=90.00
Atoms (fractional coordinates):
Cl (0.000, 0.112, 0.313)
Cl (0.500, 0.888, 0.813)
Cu (0.000, 0.791, 0.507)
Cu (0.500, 0.209, 0.007)
Cd (0.000, 0.424, 0.718)
Cd (0.500, 0.576, 0.218)


A plane-wave DFT calculation with PBE was carried out for a geometry-optimized CoMoOsBr2 structure.

Calculated values
**Space-group type**: P4/mmm (123)
**N(E_F)**: 8.4 states/eV/cell
**Formation energy without anion corrections**: 1.642 eV per atom
**Mass density**: 6.959 g/cm3
**Energy**: -4.860 eV/atom

Unit cell a=4.964 b=4.889 c=4.964 alpha=90.00 beta=90.00 gamma=90.00
Atoms (fractional coordinates):
Co (0.500, 0.500, 0.500)
Mo (0.000, 0.000, 0.000)
Os (0.000, 0.500, 0.000)
Br (0.000, 0.000, 0.500)
Br (0.500, 0.000, 0.000)


A plane-wave DFT calculation with PBE was carried out for a geometry-optimized CaTiAs2Se structure.

Calculated values
**Space-group type**: P4/mmm (123)
**N(E_F)**: 9.8 states/eV/cell
**Formation energy without anion corrections**: 0.747 eV per atom
**Mass density**: 3.716 g/cm3
**Energy**: -3.789 eV/atom

Unit cell a=5.206 b=5.206 c=5.222 alpha=90.00 beta=90.00 gamma=90.00
Atoms (fractional coordinates):
As (0.000, 0.500, 0.000)
As (0.500, 0.000, 0.000)
Ca (0.000, 0.000, 0.000)
Se (0.000, 0.000, 0.500)
Ti (0.500, 0.500, 0.500)


A plane-wave DFT calculation with PBE was carried out for a geometry-optimized AlAsSe2N structure.

Calculated values
**Space-group type**: P4/mmm (123)
**N(E_F)**: 2.5 states/eV/cell
**Formation energy without anion corrections**: 0.707 eV per atom
**Mass density**: 4.740 g/cm3
**Energy**: -4.031 eV/atom

Unit cell a=5.121 b=5.121 c=3.658 alpha=90.00 beta=90.00 gamma=90.00
Atoms (fractional coordinates):
As (0.000, 0.000, 0.000)
Al (0.500, 0.500, 0.500)
Se (0.000, 0.500, 0.000)
Se (0.500, 0.000, 0.000)
N (0.000, 0.000, 0.500)